## TbHg2Pd5 (PBE)

Data for an optimized crystal structure of TbHg2Pd5.

Output
Formation energy: -0.487 eV/atom
Total DFT energy (no corrections): -4.387 eV/atom
Offset from the most stable computed form: 0.0 kJ/mol of formula units

The structure in CIF format:
```
data_TbHg2Pd5
_space_group_name_H-M_alt 'P 1'
_space_group_IT_number 1
_space_group_name_Hall 'P 1'
_cell_length_a 16.529
_cell_length_b 4.242
_cell_length_c 4.242
_cell_angle_alpha 90.00
_cell_angle_beta 104.70
_cell_angle_gamma 90.00
loop_
_atom_site_label
_atom_site_fract_x
_atom_site_fract_y
_atom_site_fract_z
_atom_site_occupancy
Tb1 0.000 0.000 0.000 1
Tb2 0.500 0.500 0.000 1
Hg1 0.247 0.500 0.748 1
Hg2 0.253 0.000 0.252 1
Hg3 0.747 0.000 0.748 1
Hg4 0.753 0.500 0.252 1
Pd1 0.000 0.500 0.500 1
Pd2 0.126 0.000 0.625 1
Pd3 0.126 0.500 0.126 1
Pd4 0.374 0.000 0.874 1
Pd5 0.374 0.500 0.375 1
Pd6 0.500 0.000 0.500 1
Pd7 0.626 0.000 0.126 1
Pd8 0.626 0.500 0.625 1
Pd9 0.874 0.000 0.375 1
Pd10 0.874 0.500 0.874 1
```

## CaLaHo2Au4 (PBE)

Data for an optimized crystal structure of CaLaHo2Au4.

Output
Formation energy: -0.807 eV/atom
Total DFT energy (no corrections): -4.456 eV/atom

The structure in CIF format:
```
data_CaLaHo2Au4
_space_group_name_H-M_alt 'P 1'
_space_group_IT_number 1
_space_group_name_Hall 'P 1'
_cell_length_a 9.062
_cell_length_b 9.062
_cell_length_c 9.062
_cell_angle_alpha 32.79
_cell_angle_beta 32.79
_cell_angle_gamma 32.79
loop_
_atom_site_label
_atom_site_fract_x
_atom_site_fract_y
_atom_site_fract_z
_atom_site_occupancy
Ca1 0.000 0.000 0.000 1
La1 0.500 0.500 0.500 1
Ho1 0.255 0.255 0.255 1
Ho2 0.745 0.745 0.745 1
Au1 0.119 0.119 0.119 1
Au2 0.377 0.377 0.377 1
Au3 0.623 0.623 0.623 1
Au4 0.881 0.881 0.881 1
```